Density functional theory data (PBE-GGA) for crystalline Ga2Au3 at its relaxed geometry.

## Properties
E_tot, eV per atom: -3.3653
Crystal system: orthorhombic

a b c (Å): 12.2166 3.7215 8.2220
angles (deg): 90.00 90.00 90.00
Closest atoms and distances in Å follow each position.
Atoms (fractional coordinates):
Ga (0.0128, 0.2500, 0.1471)  6 Au 2.64-2.68
Ga (0.2356, 0.7500, 0.3685)  7 Au 2.66-2.75
Ga (0.2644, 0.2500, 0.8685)  7 Au 2.66-2.75
Ga (0.4872, 0.7500, 0.6471)  6 Au 2.64-2.68
Ga (0.5128, 0.2500, 0.3529)  6 Au 2.64-2.68
Ga (0.7356, 0.7500, 0.1315)  7 Au 2.66-2.75
Ga (0.7644, 0.2500, 0.6315)  7 Au 2.66-2.75
Ga (0.9872, 0.7500, 0.8529)  6 Au 2.64-2.68
Au (0.0174, 0.7500, 0.3752)  3 Ga 2.64-2.67, 2 Au 2.80
Au (0.1577, 0.7500, 0.0558)  6 Ga 2.67-2.75, 2 Au 2.98
Au (0.1706, 0.7500, 0.6776)  4 Ga 2.66-2.69, 2 Au 2.98
Au (0.3294, 0.2500, 0.1776)  4 Ga 2.66-2.69, 2 Au 2.98
Au (0.3423, 0.2500, 0.5558)  6 Ga 2.67-2.75, 2 Au 2.98
Au (0.4826, 0.2500, 0.8752)  3 Ga 2.64-2.67, 2 Au 2.80
Au (0.5174, 0.7500, 0.1248)  3 Ga 2.64-2.67, 2 Au 2.80
Au (0.6577, 0.7500, 0.4442)  6 Ga 2.67-2.75, 2 Au 2.98
Au (0.6706, 0.7500, 0.8224)  4 Ga 2.66-2.69, 2 Au 2.98
Au (0.8294, 0.2500, 0.3224)  4 Ga 2.66-2.69, 2 Au 2.98
Au (0.8423, 0.2500, 0.9442)  6 Ga 2.67-2.75, 2 Au 2.98
Au (0.9826, 0.2500, 0.6248)  3 Ga 2.64-2.67, 2 Au 2.80